The following is a DFT calculation (GGA-PBE) of a relaxed structure of Cr2AuCl.

Cell: 3.2734 4.3481 5.4520 Å, 90.00 90.00 90.00°
Element x y z (fractional)
Au1 0.0000 0.0000 0.3750
Cr1 0.5000 0.5000 0.3751
Cr2 0.0000 0.0000 0.8752
Cl1 0.5000 0.5000 0.8747

Computed properties:
- crystal system = orthorhombic

=====

The following is a DFT calculation (GGA-PBE) of a relaxed structure of Cr2AuCl.

Cell: 3.2054 3.4701 7.0306 Å, 90.00 90.00 90.00°
Element x y z (fractional)
Cl1 0.5000 0.7500 0.7500
Cr1 0.0000 0.7500 0.0342
Cr2 0.0000 0.7500 0.4658
Au1 0.5000 0.2500 0.2500

Computed properties:
- crystal system = orthorhombic

=====

The following is a DFT calculation (GGA-PBE) of a relaxed structure of Cr2Au2Cl.

Cell: 6.0403 6.0403 4.5441 Å, 90.00 90.00 90.00°
Element x y z (fractional)
Au1 0.8266 0.3266 0.5000
Au2 0.1734 0.6734 0.5000
Au3 0.3266 0.1734 0.5000
Au4 0.6734 0.8266 0.5000
Cr1 0.6095 0.1095 0.0000
Cr2 0.1095 0.3905 0.0000
Cr3 0.3905 0.8905 0.0000
Cr4 0.8905 0.6095 0.0000
Cl1 0.0000 0.0000 0.0000
Cl2 0.5000 0.5000 0.0000

Computed properties:
- crystal system = tetragonal

=====

The following is a DFT calculation (GGA-PBE) of a relaxed structure of Cr2Au2Cl.

Cell: 3.9438 3.9438 6.5237 Å, 72.41 72.41 90.00°
Element x y z (fractional)
Cl1 0.0000 0.0000 0.0000
Au1 0.7500 0.2500 0.5000
Au2 0.2500 0.7500 0.5000
Cr1 0.4260 0.4260 0.1479
Cr2 0.5740 0.5740 0.8521

Computed properties:
- crystal system = tetragonal

=====

The following is a DFT calculation (GGA-PBE) of a relaxed structure of Cr2AuCl.

Cell: 5.2998 5.2998 5.2998 Å, 144.12 112.08 79.27°
Element x y z (fractional)
Au1 0.7500 0.2500 0.5000
Cr1 0.4821 0.4821 0.0000
Cr2 0.0179 0.0179 0.0000
Cl1 0.2500 0.7500 0.5000

Computed properties:
- crystal system = orthorhombic

=====

The following is a DFT calculation (GGA-PBE) of a relaxed structure of Cr2Au2Cl.

Cell: 3.2514 3.2514 8.5343 Å, 79.02 79.02 90.00°
Element x y z (fractional)
Cr1 0.2500 0.7500 0.5000
Cr2 0.7500 0.2500 0.5000
Au1 0.6194 0.6194 0.7612
Au2 0.3806 0.3806 0.2388
Cl1 0.0000 0.0000 0.0000

Computed properties:
- crystal system = tetragonal

=====

The following is a DFT calculation (GGA-PBE) of a relaxed structure of Cr2AuCl.

Cell: 6.3874 6.3874 4.5178 Å, 89.87 89.87 28.04°
Element x y z (fractional)
Cr1 0.3458 0.3458 0.0022
Cr2 0.0049 0.0049 0.0011
Au1 0.4621 0.4621 0.5012
Cl1 0.6872 0.6872 0.9955

Computed properties:
- crystal system = monoclinic

=====

The following is a DFT calculation (GGA-PBE) of a relaxed structure of Cr2AuCl.

Cell: 4.3369 4.3369 4.3369 Å, 60.00 60.00 60.00°
Element x y z (fractional)
Au1 0.5000 0.5000 0.5000
Cr1 0.2500 0.2500 0.2500
Cr2 0.7500 0.7500 0.7500
Cl1 0.0000 0.0000 0.0000

Computed properties:
- crystal system = cubic

=====

The following is a DFT calculation (GGA-PBE) of a relaxed structure of Cr2Au2Cl.

Cell: 7.8435 7.8435 2.9113 Å, 90.00 90.00 90.00°
Element x y z (fractional)
Au1 0.6963 0.1963 0.0000
Au2 0.3037 0.8037 0.0000
Au3 0.8037 0.6963 0.0000
Au4 0.1963 0.3037 0.0000
Cr1 0.9164 0.4164 0.5000
Cr2 0.0836 0.5836 0.5000
Cr3 0.5836 0.9164 0.5000
Cr4 0.4164 0.0836 0.5000
Cl1 0.5000 0.5000 0.0000
Cl2 0.0000 0.0000 0.0000

Computed properties:
- crystal system = tetragonal

=====

The following is a DFT calculation (GGA-PBE) of a relaxed structure of Cr2AuCl.

Cell: 3.2380 3.2380 6.9812 Å, 90.00 90.00 90.00°
Element x y z (fractional)
Cl1 0.5000 0.5000 0.7500
Cr1 0.0000 0.0000 0.0135
Cr2 0.0000 0.0000 0.4865
Au1 0.5000 0.5000 0.2500

Computed properties:
- crystal system = tetragonal

=====

The following is a DFT calculation (GGA-PBE) of a relaxed structure of Cr2AuCl.

Cell: 6.3187 6.3187 6.3187 Å, 145.36 145.36 49.79°
Element x y z (fractional)
Cr1 0.0000 0.0000 0.0000
Cr2 0.2500 0.7500 0.5000
Cl1 0.7500 0.2500 0.5000
Au1 0.5000 0.5000 0.0000

Computed properties:
- crystal system = tetragonal

=====

The following is a DFT calculation (GGA-PBE) of a relaxed structure of CsCr2AuCl.

Cell: 4.9395 6.6212 4.9395 Å, 90.00 90.00 90.00°
Element x y z (fractional)
Cl1 0.0000 0.0000 0.0000
Cr1 0.0000 0.0000 0.5000
Cr2 0.5000 0.0000 0.0000
Cs1 0.0000 0.5000 0.0000
Au1 0.5000 0.5000 0.5000

Computed properties:
- crystal system = tetragonal

=====

The following is a DFT calculation (GGA-PBE) of a relaxed structure of CrAuICl.

Cell: 3.4209 4.0449 15.4181 Å, 90.00 90.00 90.00°
Element x y z (fractional)
Cl1 0.0000 0.0000 0.2953
Cl2 0.0000 0.5000 0.7953
Au1 0.0000 0.5000 0.1240
Au2 0.0000 0.0000 0.6240
I1 0.5000 0.5000 0.5118
I2 0.5000 0.0000 0.0118
Cr1 0.5000 0.5000 0.6888
Cr2 0.5000 0.0000 0.1888

Computed properties:
- crystal system = orthorhombic

=====

The following is a DFT calculation (GGA-PBE) of a relaxed structure of CrAuICl.

Cell: 3.5042 3.5048 10.0337 Å, 99.39 91.22 120.03°
Element x y z (fractional)
I1 0.4622 0.0735 0.0831
Cr1 0.3152 0.7151 0.5486
Au1 0.5773 0.2619 0.3678
Cl1 0.0370 0.1412 0.6891

Computed properties:
- crystal system = triclinic

=====

The following is a DFT calculation (GGA-PBE) of a relaxed structure of CrAuICl.

Cell: 3.5317 3.0883 20.0737 Å, 90.00 90.00 90.00°
Element x y z (fractional)
Au1 0.5000 0.5000 0.5206
Au2 0.5000 0.0000 0.0206
Cr1 0.0000 0.0000 0.4438
Cr2 0.0000 0.5000 0.9438
Cl1 0.0000 0.0000 0.8584
Cl2 0.0000 0.5000 0.3584
I1 0.5000 0.5000 0.6729
I2 0.5000 0.0000 0.1729

Computed properties:
- crystal system = orthorhombic

=====

The following is a DFT calculation (GGA-PBE) of a relaxed structure of CrAuICl.

Cell: 3.5370 3.9894 7.8389 Å, 75.23 90.18 90.00°
Element x y z (fractional)
I1 0.2911 0.5709 0.6080
Cl1 0.7958 0.2857 0.1775
Au1 0.2939 0.8828 0.9837
Cr1 0.7930 0.4368 0.8758

Computed properties:
- crystal system = monoclinic

=====

The following is a DFT calculation (GGA-PBE) of a relaxed structure of CrAuICl.

Cell: 3.5625 5.7904 6.9806 Å, 64.34 75.57 72.34°
Element x y z (fractional)
Cl1 0.6661 0.5338 0.8426
Au1 0.4001 0.9071 0.9939
I1 0.0479 0.2273 0.3922
Cr1 0.7145 0.1531 0.1262

Computed properties:
- crystal system = triclinic

=====

The following is a DFT calculation (GGA-PBE) of a relaxed structure of CrAuICl.

Cell: 3.4874 4.6297 8.0311 Å, 73.91 87.77 68.05°
Element x y z (fractional)
Au1 0.5860 0.4394 0.6412
Cl1 0.7854 0.0975 0.3064
Cr1 0.2656 0.1024 0.5012
I1 0.3485 0.8636 0.8626

Computed properties:
- crystal system = triclinic

=====

The following is a DFT calculation (GGA-PBE) of a relaxed structure of CrAuICl.

Cell: 6.8255 3.6341 8.3511 Å, 90.00 103.37 90.00°
Element x y z (fractional)
I1 0.5455 0.0000 0.0614
I2 0.5455 0.5000 0.5614
Cl1 0.1550 0.5000 0.7585
Cl2 0.1550 0.0000 0.2585
Cr1 0.1131 0.5000 0.4620
Cr2 0.1131 0.0000 0.9620
Au1 0.8316 0.0000 0.4770
Au2 0.8316 0.5000 0.9770

Computed properties:
- crystal system = monoclinic

=====

The following is a DFT calculation (GGA-PBE) of a relaxed structure of CrAuI2Cl.

Cell: 6.3457 4.5839 6.3457 Å, 90.00 90.00 90.00°
Element x y z (fractional)
Au1 0.0000 0.5000 0.0000
Cr1 0.5000 0.5000 0.5000
Cl1 0.0000 0.0000 0.0000
I1 0.5000 0.0000 0.0000
I2 0.0000 0.0000 0.5000

Computed properties:
- crystal system = tetragonal

=====

no.,total moment (μB per cell),total energy (eV/cell)
1,8.74,-23.1
2,8.61,-23.9
3,0.00,-51.2
4,0.00,-24.6
5,8.67,-22.8
6,0.00,-25.6
7,0.02,-23.9
8,0.00,-20.8
9,0.00,-49.7
10,8.98,-23.4
11,9.24,-22.6
12,9.82,-22.5
13,6.27,-33.6
14,3.58,-16.9
15,7.84,-33.5
16,3.09,-16.7
17,3.00,-16.7
18,3.13,-16.9
19,6.20,-32.8
20,4.53,-14.1